Entry 1:
An optimized crystal structure of LiY2. Source: Alexandria, functional PBE-GGA.

Computed properties:
E above lowest polymorph ... 392 meV/atom
Space group ... Fd-3m
ΔH_f (0 K) ... 0.47 eV/atom

abc: 6.5763 6.5763 6.5763
angles: 60.00 60.00 60.00
Fractional coordinates of all 6 atoms:
Li1 0.5000 0.5000 0.5000
Li2 0.7500 0.7500 0.7500
Y1 0.6250 0.1250 0.1250
Y2 0.1250 0.6250 0.1250
Y3 0.1250 0.1250 0.6250
Y4 0.1250 0.1250 0.1250

Entry 2:
An optimized crystal structure of RbHoAg2F6. Source: Alexandria, functional PBE-GGA.

Computed properties:
Calculated total energy ... -4.8317 eV/atom
Space group ... P1

abc: 6.3453 6.3389 6.6055
angles: 61.23 61.17 59.89
Fractional coordinates of all 10 atoms:
Rb1 0.8065 0.8066 0.5795
Ho1 0.3184 0.3182 0.0451
Ag1 0.5308 0.5304 0.4077
Ag2 0.0235 0.0265 0.9252
F1 0.5622 0.2478 0.2328
F2 0.2493 0.9558 0.2347
F3 0.9561 0.5585 0.2369
F4 0.3713 0.6841 0.7857
F5 0.6832 0.1604 0.7832
F6 0.1603 0.3734 0.7844

Entry 3:
An optimized crystal structure of In3Fe5Cl12. Source: Alexandria, functional PBE-GGA.

Computed properties:
Calculated total energy ... -4.2868 eV/atom
Space group ... Ia-3d

abc: 13.8900 13.8900 13.8900
angles: 109.47 109.47 109.47
Fractional coordinates of all 80 atoms:
In1 0.7500 0.3750 0.1250
In2 0.8750 0.7500 0.1250
In3 0.3750 0.7500 0.6250
In4 0.2500 0.1250 0.3750
In5 0.8750 0.1250 0.2500
In6 0.3750 0.6250 0.2500
In7 0.6250 0.3750 0.7500
In8 0.1250 0.8750 0.7500
In9 0.7500 0.8750 0.6250
In10 0.6250 0.2500 0.3750
In11 0.1250 0.2500 0.8750
In12 0.2500 0.6250 0.8750
Fe1 0.1250 0.3750 0.2500
Fe2 0.0000 0.5000 0.0000
Fe3 0.0000 0.0000 0.0000
Fe4 0.3750 0.2500 0.1250
Fe5 0.5000 0.0000 0.5000
Fe6 0.5000 0.5000 0.0000
Fe7 0.1250 0.7500 0.3750
Fe8 0.7500 0.1250 0.8750
Fe9 0.7500 0.6250 0.3750
Fe10 0.3750 0.1250 0.7500
Fe11 0.6250 0.8750 0.2500
Fe12 0.5000 0.5000 0.5000
Fe13 0.5000 0.0000 0.0000
Fe14 0.0000 0.0000 0.5000
Fe15 0.2500 0.3750 0.6250
Fe16 0.2500 0.8750 0.1250
Fe17 0.0000 0.5000 0.5000
Fe18 0.8750 0.2500 0.6250
Fe19 0.6250 0.7500 0.8750
Fe20 0.8750 0.6250 0.7500
Cl1 0.6922 0.1086 0.0106
Cl2 0.3184 0.5106 0.4020
Cl3 0.9894 0.3914 0.3078
Cl4 0.5106 0.1922 0.1086
Cl5 0.5836 0.6922 0.6816
Cl6 0.9894 0.5980 0.1816
Cl7 0.3184 0.8078 0.4164
Cl8 0.0980 0.9164 0.1086
Cl9 0.5980 0.9894 0.6816
Cl10 0.6922 0.5836 0.1816
Cl11 0.8078 0.4894 0.3914
Cl12 0.8184 0.9020 0.0106
Cl13 0.1086 0.6922 0.5106
Cl14 0.3914 0.4020 0.0836
Cl15 0.0836 0.9020 0.3914
Cl16 0.4164 0.1086 0.5980
Cl17 0.0836 0.1816 0.1922
Cl18 0.4894 0.6816 0.0980
Cl19 0.8184 0.9164 0.3078
Cl20 0.1086 0.4164 0.0980
Cl21 0.3914 0.9894 0.8078
Cl22 0.5980 0.6086 0.4164
Cl23 0.9020 0.8184 0.5106
Cl24 0.8078 0.3184 0.9164
Cl25 0.4020 0.3914 0.5836
Cl26 0.0980 0.1816 0.4894
Cl27 0.1922 0.6816 0.0836
Cl28 0.1816 0.0836 0.6922
Cl29 0.6086 0.0106 0.1922
Cl30 0.8914 0.5836 0.9020
Cl31 0.5106 0.3184 0.9020
Cl32 0.5836 0.8914 0.4020
Cl33 0.9164 0.8184 0.8078
Cl34 0.9164 0.0980 0.6086
Cl35 0.8914 0.3078 0.4894
Cl36 0.1816 0.0980 0.9894
Cl37 0.6086 0.5980 0.9164
Cl38 0.4020 0.0106 0.3184
Cl39 0.3078 0.4164 0.8184
Cl40 0.1922 0.5106 0.6086
Cl41 0.9020 0.0836 0.8914
Cl42 0.6816 0.1922 0.5836
Cl43 0.4894 0.8078 0.8914
Cl44 0.0106 0.4020 0.8184
Cl45 0.4164 0.3078 0.3184
Cl46 0.0106 0.6086 0.6922
Cl47 0.6816 0.4894 0.5980
Cl48 0.3078 0.8914 0.9894

Entry 4:
An optimized crystal structure of Cr2BiPb. Source: Alexandria, functional PBE-GGA.

Computed properties:
E above lowest polymorph ... 246 meV/atom
Space group ... Fm-3m
ΔH_f (0 K) ... 1.00 eV/atom

abc: 4.7162 4.7162 4.7162
angles: 60.00 60.00 60.00
Fractional coordinates of all 4 atoms:
Pb1 0.0000 0.0000 0.0000
Cr1 0.2500 0.2500 0.2500
Cr2 0.7500 0.7500 0.7500
Bi1 0.5000 0.5000 0.5000

Entry 5:
An optimized crystal structure of Dy3ErZr. Source: Alexandria, functional PBE-GGA.

Computed properties:
E above lowest polymorph ... 8 meV/atom
Space group ... C2/m
ΔH_f (0 K) ... 0.06 eV/atom

abc: 3.4472 9.1537 9.8128
angles: 105.67 90.05 100.84
Fractional coordinates of all 10 atoms:
Dy1 0.0230 0.0813 0.4599
Dy2 0.4163 0.8641 0.6658
Dy3 0.6278 0.2901 0.7557
Dy4 0.0210 0.0728 0.9616
Dy5 0.2250 0.4839 0.0528
Dy6 0.8189 0.6702 0.3687
Er1 0.4183 0.8704 0.1507
Er2 0.6255 0.2837 0.2708
Zr1 0.2267 0.4857 0.5725
Zr2 0.8173 0.6684 0.8492

Entry 6:
An optimized crystal structure of Li3Ga7Ag2. Source: Alexandria, functional PBE-GGA.

Computed properties:
Space group ... P2/m
ΔH_f (0 K) ... -0.11 eV/atom

abc: 3.8151 4.0936 14.4935
angles: 97.08 90.00 90.00
Fractional coordinates of all 12 atoms:
Li1 0.5000 0.5000 0.0000
Li2 0.0000 0.1872 0.3539
Li3 0.0000 0.8128 0.6461
Ga1 0.5000 0.7281 0.4505
Ga2 0.5000 0.2719 0.5495
Ga3 0.0000 0.5780 0.1418
Ga4 0.0000 0.0000 0.0000
Ga5 0.0000 0.4220 0.8582
Ga6 0.5000 0.9136 0.8553
Ga7 0.5000 0.0864 0.1447
Ag1 0.5000 0.6546 0.2744
Ag2 0.5000 0.3454 0.7256

Entry 7:
An optimized crystal structure of KNaTl2In. Source: Alexandria, functional PBE-GGA.

Computed properties:
E above lowest polymorph ... 0 meV/atom
Space group ... Pmma
ΔH_f (0 K) ... -0.07 eV/atom

abc: 7.3086 6.4593 7.1441
angles: 90.00 90.00 90.00
Fractional coordinates of all 10 atoms:
K1 0.2184 0.2500 0.5000
K2 0.7816 0.7500 0.5000
Na1 0.6203 0.7500 0.0000
Na2 0.3797 0.2500 0.0000
Tl1 0.7326 0.2500 0.7343
Tl2 0.7326 0.2500 0.2657
Tl3 0.2674 0.7500 0.7343
Tl4 0.2674 0.7500 0.2657
In1 0.0000 0.0000 0.0000
In2 0.0000 0.5000 0.0000

Number 1: DOS(E_F) 6.039 states/eV/cell, calculated volume 201.1 Å³/cell. Number 2: DOS(E_F) 0.000 states/eV/cell, calculated volume 191.0 Å³/cell. Number 3: DOS(E_F) 91.817 states/eV/cell, calculated volume 2062.9 Å³/cell. Number 4: DOS(E_F) 9.145 states/eV/cell, calculated volume 74.2 Å³/cell. Number 5: DOS(E_F) 13.470 states/eV/cell, calculated volume 292.4 Å³/cell. Number 6: DOS(E_F) 4.219 states/eV/cell, calculated volume 224.6 Å³/cell. Number 7: DOS(E_F) 6.075 states/eV/cell, calculated volume 337.3 Å³/cell.